# Er6AgBi2

A relaxed Er6AgBi2 crystal (PBE, Alexandria via LeMat-Bulk).

* ΔE_f: -338 meV per atom

```
data_Er6AgBi2
_chemical_formula_sum 'Er12 Ag2 Bi4'
_cell_length_a 6.431
_cell_length_b 8.022
_cell_length_c 12.059
_cell_angle_alpha 90.00
_cell_angle_beta 122.09
_cell_angle_gamma 90.00
_space_group_name_H-M_alt 'P 1 21/c 1'
_space_group_IT_number 14
_space_group_name_Hall '-P 2ybc'
loop_
_atom_site_label
_atom_site_type_symbol
_atom_site_fract_x
_atom_site_fract_y
_atom_site_fract_z
Er1 Er 0.084 0.034 0.236
Er2 Er 0.162 0.709 0.044
Er3 Er 0.407 0.160 0.041
Ag1 Ag 0.500 0.000 0.500
Bi1 Bi 0.346 0.116 0.738
```